[1]
# PBE-GGA LaTlOs4, optimized geometry
# Density of states at the Fermi level in states/eV/cell: 38.602
# Crystal system: cubic
data_LaTlOs4
_cell_length_a 7.651
_cell_length_b 7.651
_cell_length_c 7.651
_cell_angle_alpha 90.00
_cell_angle_beta 90.00
_cell_angle_gamma 90.00
_space_group_name_H-M_alt 'F -4 3 m'
_space_group_IT_number 216
_space_group_name_Hall 'F -4 2 3'
loop_
_atom_site_label
_atom_site_type_symbol
_atom_site_fract_x
_atom_site_fract_y
_atom_site_fract_z
La1 La 0.000 0.000 0.000
Tl1 Tl 0.250 0.250 0.250
Os1 Os 0.124 0.124 0.624

[2]
# PBE-GGA LaTlOs, optimized geometry
# Density of states at the Fermi level in states/eV/cell: 9.069
# Crystal system: cubic
data_LaTlOs
_cell_length_a 6.833
_cell_length_b 6.833
_cell_length_c 6.833
_cell_angle_alpha 90.00
_cell_angle_beta 90.00
_cell_angle_gamma 90.00
_space_group_name_H-M_alt 'F -4 3 m'
_space_group_IT_number 216
_space_group_name_Hall 'F -4 2 3'
loop_
_atom_site_label
_atom_site_type_symbol
_atom_site_fract_x
_atom_site_fract_y
_atom_site_fract_z
La1 La 0.000 0.000 0.000
Tl1 Tl 0.000 0.000 0.500
Os1 Os 0.250 0.250 0.250

[3]
# PBE-GGA LaTl2Os, optimized geometry
# Density of states at the Fermi level in states/eV/cell: 12.464
# Crystal system: trigonal
data_LaTl2Os
_cell_length_a 3.3497
_cell_length_b 3.3497
_cell_length_c 29.7643
_cell_angle_alpha 90.00
_cell_angle_beta 90.00
_cell_angle_gamma 120.00
_space_group_name_H-M_alt 'R -3 m'
_space_group_IT_number 166
_space_group_name_Hall '-R 3 2"'
loop_
_atom_site_label
_atom_site_type_symbol
_atom_site_fract_x
_atom_site_fract_y
_atom_site_fract_z
La1 La 0.0000 0.0000 0.0000
Tl1 Tl 0.0000 0.0000 0.2375
Os1 Os 0.0000 0.0000 0.5000

[4]
# PBE-GGA La8TlOs2, optimized geometry
# Density of states at the Fermi level in states/eV/cell: 25.653
# Crystal system: monoclinic
data_La8TlOs2
_cell_length_a 8.866
_cell_length_b 14.223
_cell_length_c 5.695
_cell_angle_alpha 90.00
_cell_angle_beta 102.39
_cell_angle_gamma 90.00
_space_group_name_H-M_alt 'C 1 m 1'
_space_group_IT_number 8
_space_group_name_Hall 'C -2y'
loop_
_atom_site_label
_atom_site_type_symbol
_atom_site_fract_x
_atom_site_fract_y
_atom_site_fract_z
La1 La 0.000 0.000 0.000
La2 La 0.093 0.247 0.792
La3 La 0.191 0.000 0.586
La4 La 0.298 0.373 0.340
La5 La 0.391 0.127 0.243
Tl1 Tl 0.095 0.500 0.792
Os1 Os 0.095 0.201 0.293

no.,energy of formation (meV/atom)
1,417.5
2,230.8
3,555.7
4,-135.9